P:
TlFeCl2 | GGA-PBEsol | optimized geometry

Summary:
Magnetic moment ... 3.3 μB/cell

a = 5.755 Å, b = 5.755 Å, c = 5.755 Å
α = 146.90°, β = 119.30°, γ = 70.91°
Atoms (fractional coordinates):
Tl 0.000 0.000 0.000
Fe 0.500 0.500 0.000
Cl 0.323 0.823 0.500
Cl 0.677 0.177 0.500

Q:
TlFeCl2 | GGA-PBEsol | optimized geometry

Summary:
Magnetic moment ... 3.1 μB/cell

a = 3.405 Å, b = 6.665 Å, c = 6.665 Å
α = 38.05°, β = 90.00°, γ = 90.00°
Atoms (fractional coordinates):
Tl 0.000 0.000 0.000
Fe 0.500 0.805 0.805
Cl 0.000 0.679 0.679
Cl 0.500 0.361 0.361

Most stable: Q. Least stable: P.

P:
FeWCl2 | GGA-PBEsol | optimized geometry

Summary:
Magnetic moment ... 2.1 μB/cell

a = 7.136 Å, b = 7.136 Å, c = 7.136 Å
α = 156.39°, β = 145.75°, γ = 42.02°
Atoms (fractional coordinates):
Fe 0.000 0.000 0.000
W 0.500 0.500 0.000
Cl 0.352 0.852 0.500
Cl 0.648 0.148 0.500

Q:
FeWCl2 | GGA-PBEsol | optimized geometry

Summary:
Magnetic moment ... 1.7 μB/cell

a = 4.225 Å, b = 4.225 Å, c = 4.225 Å
α = 60.00°, β = 60.00°, γ = 60.00°
Atoms (fractional coordinates):
Fe 0.000 0.000 0.000
W 0.500 0.500 0.500
Cl 0.250 0.250 0.250
Cl 0.750 0.750 0.750

R:
FeWCl2 | GGA-PBEsol | optimized geometry

Summary:
Magnetic moment ... 3.3 μB/cell

a = 2.832 Å, b = 4.099 Å, c = 5.481 Å
α = 90.00°, β = 102.14°, γ = 90.00°
Atoms (fractional coordinates):
Fe 0.000 0.000 0.000
W 0.500 0.000 0.500
Cl 0.354 0.500 0.247
Cl 0.646 0.500 0.753

S:
FeWCl2 | GGA-PBEsol | optimized geometry

Summary:
Magnetic moment ... 3.2 μB/cell

a = 3.059 Å, b = 3.059 Å, c = 8.131 Å
α = 90.00°, β = 90.00°, γ = 125.36°
Atoms (fractional coordinates):
Fe 0.000 0.000 0.000
W 0.000 0.000 0.500
Cl 0.500 0.500 0.248
Cl 0.500 0.500 0.752

Most stable: P. Least stable: Q.

P:
YFe2Cl | GGA-PBEsol | optimized geometry

Summary:
Magnetic moment ... 4.5 μB/cell

a = 3.195 Å, b = 4.927 Å, c = 4.148 Å
α = 90.00°, β = 90.84°, γ = 90.00°
Atoms (fractional coordinates):
Y 0.000 0.000 0.000
Fe 0.307 0.500 0.749
Fe 0.693 0.500 0.251
Cl 0.500 0.000 0.500

Q:
YFe2Cl | GGA-PBEsol | optimized geometry

Summary:
Magnetic moment ... 5.7 μB/cell

a = 3.051 Å, b = 3.051 Å, c = 7.404 Å
α = 90.00°, β = 90.00°, γ = 90.00°
Atoms (fractional coordinates):
Y 0.000 0.000 0.000
Fe 0.500 0.500 0.291
Fe 0.500 0.500 0.709
Cl 0.000 0.000 0.500

Most stable: P. Least stable: Q.

P:
ZrFeCl2 | GGA-PBEsol | optimized geometry

Summary:
Magnetic moment ... 2.5 μB/cell

a = 3.237 Å, b = 3.237 Å, c = 5.906 Å
α = 90.00°, β = 90.00°, γ = 90.00°
Atoms (fractional coordinates):
Zr 0.000 0.000 0.000
Fe 0.000 0.000 0.500
Cl 0.500 0.500 0.246
Cl 0.500 0.500 0.754

Q:
ZrFeCl2 | GGA-PBEsol | optimized geometry

Summary:
Magnetic moment ... 3.1 μB/cell

a = 8.457 Å, b = 8.457 Å, c = 8.457 Å
α = 21.60°, β = 21.60°, γ = 21.60°
Atoms (fractional coordinates):
Zr 0.000 0.000 0.000
Fe 0.500 0.500 0.500
Cl 0.103 0.103 0.103
Cl 0.897 0.897 0.897

Most stable: Q. Least stable: P.

P:
GaHCl2 | GGA-PBEsol | optimized geometry

Summary:
Magnetic moment ... 0.0 μB/cell

a = 6.555 Å, b = 6.555 Å, c = 6.555 Å
α = 40.35°, β = 40.35°, γ = 40.35°
Atoms (fractional coordinates):
Ga 0.000 0.000 0.000
H 0.500 0.500 0.500
Cl 0.414 0.414 0.414
Cl 0.586 0.586 0.586

Q:
GaHCl2 | GGA-PBEsol | optimized geometry

Summary:
Magnetic moment ... 0.0 μB/cell

a = 6.615 Å, b = 6.615 Å, c = 9.812 Å
α = 91.15°, β = 91.15°, γ = 124.00°
Atoms (fractional coordinates):
Ga 0.069 0.325 0.078
Ga 0.325 0.069 0.578
Ga 0.675 0.931 0.422
Ga 0.931 0.675 0.922
H 0.325 0.428 0.139
H 0.428 0.325 0.639
H 0.572 0.675 0.361
H 0.675 0.572 0.861
Cl 0.040 0.257 0.414
Cl 0.073 0.435 0.855
Cl 0.257 0.040 0.914
Cl 0.435 0.073 0.355
Cl 0.565 0.927 0.645
Cl 0.743 0.960 0.086
Cl 0.927 0.565 0.145
Cl 0.960 0.743 0.586

Most stable: Q. Least stable: P.

P:
NbGaSCl2 | GGA-PBEsol | optimized geometry

Summary:
Magnetic moment ... 0.0 μB/cell

a = 4.892 Å, b = 4.892 Å, c = 4.758 Å
α = 90.00°, β = 90.00°, γ = 90.00°
Atoms (fractional coordinates):
Nb 0.000 0.000 0.000
Ga 0.500 0.500 0.500
S 0.000 0.000 0.500
Cl 0.000 0.500 0.000
Cl 0.500 0.000 0.000

Q:
NbGaSCl2 | GGA-PBEsol | optimized geometry

Summary:
Magnetic moment ... 3.4 μB/cell

a = 4.653 Å, b = 4.653 Å, c = 4.786 Å
α = 90.00°, β = 90.00°, γ = 90.00°
Atoms (fractional coordinates):
Nb 0.000 0.000 0.000
Ga 0.500 0.500 0.500
S 0.500 0.500 0.000
Cl 0.000 0.500 0.500
Cl 0.500 0.000 0.500

Most stable: P. Least stable: Q.

P:
TlGaPCl2 | GGA-PBEsol | optimized geometry

Summary:
Magnetic moment ... 1.4 μB/cell

a = 5.398 Å, b = 5.398 Å, c = 5.098 Å
α = 90.00°, β = 90.00°, γ = 90.00°
Atoms (fractional coordinates):
Tl 0.000 0.000 0.000
Ga 0.500 0.500 0.500
P 0.000 0.000 0.500
Cl 0.000 0.500 0.000
Cl 0.500 0.000 0.000

Q:
TlGaPCl2 | GGA-PBEsol | optimized geometry

Summary:
Magnetic moment ... 0.0 μB/cell

a = 4.887 Å, b = 4.887 Å, c = 4.793 Å
α = 90.00°, β = 90.00°, γ = 90.00°
Atoms (fractional coordinates):
Tl 0.000 0.000 0.000
Ga 0.500 0.500 0.500
P 0.500 0.500 0.000
Cl 0.000 0.500 0.500
Cl 0.500 0.000 0.500

Most stable: Q. Least stable: P.

P:
ZrGa3Cl | GGA-PBEsol | optimized geometry

Summary:
Magnetic moment ... 2.1 μB/cell

a = 5.296 Å, b = 5.296 Å, c = 5.296 Å
α = 90.00°, β = 90.00°, γ = 90.00°
Atoms (fractional coordinates):
Zr 0.000 0.000 0.000
Ga 0.000 0.000 0.500
Ga 0.000 0.500 0.000
Ga 0.500 0.000 0.000
Cl 0.500 0.500 0.500

Q:
ZrGa3Cl | GGA-PBEsol | optimized geometry

Summary:
Magnetic moment ... 0.0 μB/cell

a = 4.734 Å, b = 4.734 Å, c = 4.734 Å
α = 90.00°, β = 90.00°, γ = 90.00°
Atoms (fractional coordinates):
Zr 0.000 0.000 0.000
Ga 0.000 0.500 0.500
Ga 0.500 0.000 0.500
Ga 0.500 0.500 0.000
Cl 0.500 0.500 0.500

Most stable: Q. Least stable: P.

P:
ZrGePCl2 | GGA-PBEsol | optimized geometry

Summary:
Magnetic moment ... 1.5 μB/cell

a = 4.680 Å, b = 4.680 Å, c = 4.889 Å
α = 90.00°, β = 90.00°, γ = 90.00°
Atoms (fractional coordinates):
Zr 0.000 0.000 0.000
Ge 0.500 0.500 0.500
P 0.500 0.500 0.000
Cl 0.000 0.500 0.500
Cl 0.500 0.000 0.500

Q:
ZrGePCl2 | GGA-PBEsol | optimized geometry

Summary:
Magnetic moment ... 0.6 μB/cell

a = 4.830 Å, b = 4.830 Å, c = 5.201 Å
α = 90.00°, β = 90.00°, γ = 90.00°
Atoms (fractional coordinates):
Zr 0.000 0.000 0.000
Ge 0.500 0.500 0.500
P 0.000 0.000 0.500
Cl 0.000 0.500 0.000
Cl 0.500 0.000 0.000

Most stable: Q. Least stable: P.

P:
GeTeCl2 | GGA-PBEsol | optimized geometry

Summary:
Magnetic moment ... 0.0 μB/cell

a = 4.988 Å, b = 4.988 Å, c = 4.988 Å
α = 60.00°, β = 60.00°, γ = 60.00°
Atoms (fractional coordinates):
Ge 0.000 0.000 0.000
Te 0.500 0.500 0.500
Cl 0.250 0.250 0.250
Cl 0.750 0.750 0.750

Q:
GeTeCl2 | GGA-PBEsol | optimized geometry

Summary:
Magnetic moment ... 1.9 μB/cell

a = 6.825 Å, b = 6.825 Å, c = 6.825 Å
α = 99.47°, β = 99.47°, γ = 132.13°
Atoms (fractional coordinates):
Ge 0.000 0.000 0.000
Ge 0.750 0.250 0.500
Te 0.250 0.750 0.500
Te 0.500 0.500 0.000
Cl 0.008 0.625 0.883
Cl 0.375 0.258 0.383
Cl 0.742 0.125 0.117
Cl 0.875 0.992 0.617

Most stable: Q. Least stable: P.

P:
HIr2Cl | GGA-PBEsol | optimized geometry

Summary:
Magnetic moment ... 0.0 μB/cell

a = 5.609 Å, b = 5.609 Å, c = 5.609 Å
α = 128.94°, β = 128.94°, γ = 75.10°
Atoms (fractional coordinates):
H 0.000 0.000 0.000
H 0.750 0.250 0.500
Ir 0.011 0.625 0.886
Ir 0.375 0.261 0.386
Ir 0.739 0.125 0.114
Ir 0.875 0.989 0.614
Cl 0.250 0.750 0.500
Cl 0.500 0.500 0.000

Q:
HIr2Cl | GGA-PBEsol | optimized geometry

Summary:
Magnetic moment ... 0.0 μB/cell

a = 4.065 Å, b = 4.065 Å, c = 4.065 Å
α = 60.00°, β = 60.00°, γ = 60.00°
Atoms (fractional coordinates):
H 0.000 0.000 0.000
Ir 0.250 0.250 0.250
Ir 0.750 0.750 0.750
Cl 0.500 0.500 0.500

Most stable: P. Least stable: Q.

P:
H8PdN2Cl6 | GGA-PBEsol | optimized geometry

Summary:
Magnetic moment ... 0.0 μB/cell

a = 6.827 Å, b = 6.811 Å, c = 12.159 Å
α = 90.00°, β = 123.94°, γ = 90.00°
Atoms (fractional coordinates):
H 0.093 0.027 0.245
H 0.093 0.473 0.745
H 0.229 0.059 0.164
H 0.229 0.441 0.664
H 0.272 0.650 0.752
H 0.272 0.850 0.252
H 0.391 0.067 0.332
H 0.391 0.433 0.832
H 0.609 0.567 0.168
H 0.609 0.933 0.668
H 0.728 0.150 0.748
H 0.728 0.350 0.248
H 0.771 0.559 0.336
H 0.771 0.941 0.836
H 0.907 0.527 0.255
H 0.907 0.973 0.755
Pd 0.500 0.000 0.000
Pd 0.500 0.500 0.500
N 0.247 0.001 0.248
N 0.247 0.499 0.748
N 0.753 0.501 0.252
N 0.753 0.999 0.752
Cl 0.242 0.213 0.005
Cl 0.242 0.287 0.505
Cl 0.254 0.514 0.271
Cl 0.254 0.986 0.771
Cl 0.300 0.736 0.013
Cl 0.300 0.764 0.513
Cl 0.700 0.236 0.487
Cl 0.700 0.264 0.987
Cl 0.746 0.014 0.229
Cl 0.746 0.486 0.729
Cl 0.758 0.713 0.495
Cl 0.758 0.787 0.995

Q:
H8PdN2Cl6 | GGA-PBEsol | optimized geometry

Summary:
Magnetic moment ... 0.0 μB/cell

a = 6.830 Å, b = 6.830 Å, c = 6.830 Å
α = 60.00°, β = 60.00°, γ = 60.00°
Atoms (fractional coordinates):
H 0.188 0.188 0.188
H 0.188 0.188 0.436
H 0.188 0.436 0.188
H 0.436 0.188 0.188
H 0.564 0.812 0.812
H 0.812 0.564 0.812
H 0.812 0.812 0.564
H 0.812 0.812 0.812
Pd 0.500 0.500 0.500
N 0.250 0.250 0.250
N 0.750 0.750 0.750
Cl 0.260 0.260 0.740
Cl 0.260 0.740 0.260
Cl 0.260 0.740 0.740
Cl 0.740 0.260 0.260
Cl 0.740 0.260 0.740
Cl 0.740 0.740 0.260

Most stable: P. Least stable: Q.